The following is a DFT calculation (PBE) of a relaxed KTlIr2 crystal.

Cell lengths 3.107, 5.081, 10.100 Å; angles 90.00, 90.00, 90.00 degrees
Space group Cmmm (No. 65)
Symmetry-distinct sites (fractional):
K1 0.000 0.000 0.000 [2 per cell]
Tl1 0.000 0.000 0.500 [2 per cell]
Ir1 0.000 0.500 0.275 [4 per cell]

Results
ρ = 13.08 Mg/m³
polymorph energy (0 for the lowest one) = 561.4 meV/atom
formation energy from the elements = 0.87 eV/atom



The following is a DFT calculation (PBE) of a relaxed LiFeAg3 crystal.

Cell lengths 4.918, 4.918, 4.918 Å; angles 90.00, 90.00, 90.00 degrees
Space group Pm-3m (No. 221)
Symmetry-distinct sites (fractional):
Li1 0.000 0.000 0.000 [1 per cell]
Fe1 0.500 0.500 0.500 [1 per cell]
Ag1 0.000 0.500 0.500 [3 per cell]

Results
ρ = 5.39 Mg/m³
polymorph energy (0 for the lowest one) = 0.0 meV/atom
formation energy from the elements = 0.69 eV/atom



The following is a DFT calculation (PBE) of a relaxed PmAl2Co2B crystal.

Cell lengths 3.978, 3.978, 5.592 Å; angles 90.00, 90.00, 90.00 degrees
Space group P4/mmm (No. 123)
Symmetry-distinct sites (fractional):
Pm1 0.000 0.000 0.000 [1 per cell]
Al1 0.500 0.500 0.247 [2 per cell]
Co1 0.000 0.500 0.500 [2 per cell]
B1 0.000 0.000 0.500 [1 per cell]

Results
ρ = 6.15 Mg/m³
formation energy from the elements = -0.48 eV/atom



The following is a DFT calculation (PBE) of a relaxed NdPu2Ni crystal.

Cell lengths 3.479, 3.479, 8.228 Å; angles 90.00, 90.00, 90.00 degrees
Space group P4/mmm (No. 123)
Symmetry-distinct sites (fractional):
Nd1 0.000 0.000 0.000 [1 per cell]
Pu1 0.500 0.500 0.314 [2 per cell]
Ni1 0.000 0.000 0.500 [1 per cell]

Results
ρ = 11.52 Mg/m³
polymorph energy (0 for the lowest one) = 0.0 meV/atom
formation energy from the elements = 0.09 eV/atom



The following is a DFT calculation (PBE) of a relaxed BiAsC crystal.

Cell lengths 4.383, 6.016, 6.965 Å; angles 92.16, 107.20, 109.51 degrees
Space group P1 (No. 1)
Symmetry-distinct sites (fractional):
Bi1 0.000 0.000 0.000 [1 per cell]
Bi2 0.437 0.139 0.717 [1 per cell]
As1 0.724 0.655 0.410 [1 per cell]
As2 0.953 0.587 0.772 [1 per cell]
C1 0.241 0.463 0.324 [1 per cell]
C2 0.963 0.477 0.325 [1 per cell]

Results
ρ = 6.01 Mg/m³
polymorph energy (0 for the lowest one) = 181.0 meV/atom
formation energy from the elements = 0.69 eV/atom



The following is a DFT calculation (PBE) of a relaxed La6RhO12 crystal.

Cell lengths 10.3264, 10.3264, 9.9771 Å; angles 90.00, 90.00, 120.00 degrees
Space group R-3 (No. 148, hexagonal axes)
Symmetry-distinct sites (fractional):
La1 0.0481 0.7916 0.1485 [18 per cell]
Rh1 0.0000 0.0000 0.5000 [3 per cell]
O1 0.0376 0.8100 0.9048 [18 per cell]
O2 0.0418 0.8610 0.3933 [18 per cell]

Results
formation energy from raw total energies = -2848 meV/atom
ρ = 6.10 Mg/m³



The following is a DFT calculation (PBE) of a relaxed Nd2HoIn3Se6 crystal.

Cell lengths 7.343, 12.714, 8.105 Å; angles 90.00, 107.56, 90.00 degrees
Space group C2/m (No. 12)
Symmetry-distinct sites (fractional):
Nd1 0.000 0.167 0.000 [4 per cell]
Ho1 0.000 0.500 0.000 [2 per cell]
In1 0.000 0.000 0.500 [2 per cell]
In2 0.000 0.332 0.500 [4 per cell]
Se1 0.232 0.338 0.212 [8 per cell]
Se2 0.248 0.000 0.215 [4 per cell]

Results
formation energy from raw total energies = -1291 meV/atom
ρ = 5.85 Mg/m³



The following is a DFT calculation (PBE) of a relaxed Mo2IrRh crystal.

Cell lengths 2.7711, 2.7711, 27.5105 Å; angles 90.00, 90.00, 120.00 degrees
Space group R3m (No. 160, hexagonal axes)
Symmetry-distinct sites (fractional):
Mo1 0.0000 0.0000 0.0000 [3 per cell]
Mo2 0.0000 0.0000 0.2417 [3 per cell]
Ir1 0.0000 0.0000 0.4971 [3 per cell]
Rh1 0.0000 0.0000 0.7444 [3 per cell]

Results
ρ = 13.26 Mg/m³
polymorph energy (0 for the lowest one) = 237.5 meV/atom
formation energy from the elements = -0.02 eV/atom



The following is a DFT calculation (PBE) of a relaxed KCdMo3 crystal.

Cell lengths 4.574, 4.574, 4.574 Å; angles 90.00, 90.00, 90.00 degrees
Space group Pm-3m (No. 221)
Symmetry-distinct sites (fractional):
K1 0.000 0.000 0.000 [1 per cell]
Cd1 0.500 0.500 0.500 [1 per cell]
Mo1 0.000 0.000 0.500 [3 per cell]

Results
ρ = 7.62 Mg/m³
polymorph energy (0 for the lowest one) = 267.9 meV/atom
formation energy from the elements = 2.91 eV/atom



The following is a DFT calculation (PBE) of a relaxed ThGaAsRh3 crystal.

Cell lengths 6.678, 11.855, 5.719 Å; angles 90.00, 90.00, 90.00 degrees
Space group Cmcm (No. 63)
Symmetry-distinct sites (fractional):
Th1 0.000 0.203 0.250 [4 per cell]
Ga1 0.000 0.462 0.250 [4 per cell]
As1 0.000 0.124 0.750 [4 per cell]
Rh1 0.000 0.324 0.750 [4 per cell]
Rh2 0.208 0.000 0.000 [8 per cell]

Results
ρ = 10.05 Mg/m³
formation energy from the elements = -0.64 eV/atom